# BaPb12Au7 | Alexandria via LeMat-Bulk | PBE | relaxed
data_BaPb12Au7
_space_group_name_H-M_alt 'R -3 m'
_space_group_IT_number 166
_space_group_name_Hall '-R 3 2"'
_cell_length_a 15.3590
_cell_length_b 15.3590
_cell_length_c 8.2304
_cell_angle_alpha 90.00
_cell_angle_beta 90.00
_cell_angle_gamma 120.00
loop_
_atom_site_label
_atom_site_type_symbol
_atom_site_fract_x
_atom_site_fract_y
_atom_site_fract_z
Ba1 Ba 0.0000 0.0000 0.0000
Pb1 Pb 0.0000 0.2613 0.0000
Pb2 Pb 0.1064 0.2129 0.3656
Au1 Au 0.0000 0.0000 0.5000
Au2 Au 0.1083 0.2166 0.7380
# - ΔH_f (0 K) (meV/atom) = -130
# - crystal system = trigonal